# 1
Material: CdInCl2
Method: DFT, GGA-PBE
State: optimized geometry

The structure in POSCAR format:
```
CdInCl2
1.0
-3.0959 3.0959 7.8969
3.0959 -3.0959 7.8969
3.0959 3.0959 -7.8969
Cd In Cl
2 2 4
Direct
0.0000 0.0000 0.0000 Cd
0.7500 0.2500 0.5000 Cd
0.2500 0.7500 0.5000 In
0.5000 0.5000 0.0000 In
0.0692 0.6250 0.9442 Cl
0.3750 0.3192 0.4442 Cl
0.6808 0.1250 0.0558 Cl
0.8750 0.9308 0.5558 Cl
```

Calculated values
As for the distance to the lowest polymorph of the same formula: 0.159 eV/atom. Its space group is No. 122.



# 2
Material: CdInCl2
Method: DFT, GGA-PBE
State: optimized geometry

The structure in POSCAR format:
```
CdInCl2
1.0
3.5832 0.0000 0.0000
0.0000 4.0102 0.0000
-0.0075 0.0000 7.9224
Cd In Cl
1 1 2
Direct
0.0000 0.0000 0.0000 Cd
0.5000 0.0000 0.5000 In
0.0022 0.5000 0.7430 Cl
0.9978 0.5000 0.2570 Cl
```

Calculated values
As for the distance to the lowest polymorph of the same formula: 0.148 eV/atom. Its space group is No. 10.



# 3
Material: Cd2InCl
Method: DFT, GGA-PBE
State: optimized geometry

The structure in POSCAR format:
```
Cd2InCl
1.0
3.4494 0.0000 0.0000
0.0000 4.6505 0.0000
0.0000 0.0000 6.5025
Cd In Cl
2 1 1
Direct
0.0000 0.0000 0.2348 Cd
0.0000 0.0000 0.7652 Cd
0.5000 0.5000 0.5000 In
0.5000 0.5000 0.0000 Cl
```

Calculated values
As for the distance to the lowest polymorph of the same formula: 0.130 eV/atom. Its space group is No. 47.



# 4
Material: CdIn2IrCl
Method: DFT, GGA-PBE
State: optimized geometry

The structure in POSCAR format:
```
CdIn2IrCl
1.0
5.1875 0.0000 0.0000
0.0000 5.1875 0.0000
0.0000 0.0000 5.2516
Cd In Ir Cl
1 2 1 1
Direct
0.0000 0.0000 0.0000 Cd
0.0000 0.5000 0.5000 In
0.5000 0.0000 0.5000 In
0.0000 0.0000 0.5000 Ir
0.5000 0.5000 0.0000 Cl
```

Calculated values
Its total energy is -3.67 eV/atom. Its space group is No. 123.



How do the records compare in total magnetization? In the order shown, they have 0.00; 0.00; 0.00; 0.00 μB per formula unit.
How do the records compare in density? In the order shown, they have 3270; 4349; 5971; 6694 kg/m³.